Material: LiCaPmPt
Method: DFT, PBE-GGA
State: relaxed

a = 5.063 Å, b = 5.063 Å, c = 5.063 Å
α = 60.00°, β = 60.00°, γ = 60.00°
Fractional positions:
Pm (0.500, 0.500, 0.500)
Pt (0.750, 0.750, 0.750)
Li (0.250, 0.250, 0.250)
Ca (0.000, 0.000, 0.000)

## Properties
ΔH_f (0 K) (eV per atom): -0.561
Symmetry: F-43m (216)